Model one:
# Al3GaO (PBE, relaxed)
# * magnetic moment: 0.0 μB/f.u.
# * D(E_F): 0.475 states/eV per atom
# * symmetry: Pm-3m (221)
data_Al3GaO
_chemical_formula_sum 'Al3 Ga1 O1'
_cell_length_a 4.7810
_cell_length_b 4.7810
_cell_length_c 4.7810
_cell_angle_alpha 90.00
_cell_angle_beta 90.00
_cell_angle_gamma 90.00
_symmetry_space_group_name_H-M 'P 1'
_symmetry_Int_Tables_number 1
loop_
_symmetry_equiv_pos_as_xyz
'x,y,z'
loop_
_atom_site_label
_atom_site_type_symbol
_atom_site_fract_x
_atom_site_fract_y
_atom_site_fract_z
Al1 Al 0.0000 0.0000 0.5000
Al2 Al 0.0000 0.5000 0.0000
Al3 Al 0.5000 0.0000 0.0000
Ga1 Ga 0.0000 0.0000 0.0000
O1 O 0.5000 0.5000 0.5000



Model two:
# Al3GaO (PBE, relaxed)
# * magnetic moment: 0.0 μB/f.u.
# * D(E_F): 0.464 states/eV per atom
# * symmetry: Pm-3m (221)
data_Al3GaO
_chemical_formula_sum 'Al3 Ga1 O1'
_cell_length_a 4.2225
_cell_length_b 4.2225
_cell_length_c 4.2225
_cell_angle_alpha 90.00
_cell_angle_beta 90.00
_cell_angle_gamma 90.00
_symmetry_space_group_name_H-M 'P 1'
_symmetry_Int_Tables_number 1
loop_
_symmetry_equiv_pos_as_xyz
'x,y,z'
loop_
_atom_site_label
_atom_site_type_symbol
_atom_site_fract_x
_atom_site_fract_y
_atom_site_fract_z
Al1 Al 0.0000 0.0000 0.5000
Al2 Al 0.0000 0.5000 0.0000
Al3 Al 0.5000 0.0000 0.0000
Ga1 Ga 0.5000 0.5000 0.5000
O1 O 0.0000 0.0000 0.0000



Which of them is the most stable, and which is the least stable? model two and model one, in that order.



Model one:
# Al2Ga2O (PBE, relaxed)
# * magnetic moment: 0.0 μB/f.u.
# * D(E_F): 0.525 states/eV per atom
# * symmetry: P4/mbm (127)
data_Al2Ga2O
_chemical_formula_sum 'Al4 Ga4 O2'
_cell_length_a 5.6611
_cell_length_b 5.6611
_cell_length_c 5.2342
_cell_angle_alpha 90.00
_cell_angle_beta 90.00
_cell_angle_gamma 90.00
_symmetry_space_group_name_H-M 'P 1'
_symmetry_Int_Tables_number 1
loop_
_symmetry_equiv_pos_as_xyz
'x,y,z'
loop_
_atom_site_label
_atom_site_type_symbol
_atom_site_fract_x
_atom_site_fract_y
_atom_site_fract_z
Al1 Al 0.1764 0.3236 0.0000
Al2 Al 0.3236 0.8236 0.0000
Al3 Al 0.6764 0.1764 0.0000
Al4 Al 0.8236 0.6764 0.0000
Ga1 Ga 0.1628 0.6628 0.5000
Ga2 Ga 0.3372 0.1628 0.5000
Ga3 Ga 0.6628 0.8372 0.5000
Ga4 Ga 0.8372 0.3372 0.5000
O1 O 0.0000 0.0000 0.5000
O2 O 0.5000 0.5000 0.5000



Model two:
# Al2Ga2O (PBE, relaxed)
# * magnetic moment: 0.0 μB/f.u.
# * D(E_F): 0.550 states/eV per atom
# * symmetry: I4/mmm (139)
data_Al2Ga2O
_chemical_formula_sum 'Al2 Ga2 O1'
_cell_length_a 7.4740
_cell_length_b 7.4740
_cell_length_c 7.4740
_cell_angle_alpha 152.45
_cell_angle_beta 152.45
_cell_angle_gamma 39.35
_symmetry_space_group_name_H-M 'P 1'
_symmetry_Int_Tables_number 1
loop_
_symmetry_equiv_pos_as_xyz
'x,y,z'
loop_
_atom_site_label
_atom_site_type_symbol
_atom_site_fract_x
_atom_site_fract_y
_atom_site_fract_z
Al1 Al 0.2500 0.7500 0.5000
Al2 Al 0.7500 0.2500 0.5000
Ga1 Ga 0.0871 0.0871 0.0000
Ga2 Ga 0.9129 0.9129 0.0000
O1 O 0.5000 0.5000 0.0000



Which of them is the most stable, and which is the least stable? model one and model two, in that order.